Co3PF: optimized geometry, GGA+U.

Results
energy above the lowest structure with this stoichiometry: 0 meV/atom
space-group type: Pm-3m, No. 221

Cell lengths 4.3675, 4.3675, 4.3675 Å; angles 90.00, 90.00, 90.00 degrees
Each line ends with the local moment (μB).
Fractional coordinates of all 5 atoms:
F: 0.5000 0.5000 0.5000  0.09
Co: 0.0000 0.0000 0.5000  1.97
Co: 0.5000 0.0000 0.0000  2.52
P: 0.0000 0.0000 0.0000  0.08
Co: 0.0000 0.5000 0.0000  2.32